An optimized crystal structure of Co2SiO4, computed with PBE+U.

Space group: No. 70
Total DFT energy (no corrections), eV per atom: -6.7860
Energy above the most stable polymorph in this dataset, meV/atom: 72

Lattice parameters (Å, degrees): 7.202 6.206 5.442 76.07 56.75 47.17
Positions (direct):
Co 0.060 0.690 0.060
Co 0.310 0.940 0.310
Co 0.690 0.060 0.690
Co 0.940 0.310 0.940
Si 0.375 0.375 0.375
Si 0.625 0.625 0.625
O 0.179 0.727 0.345
O 0.249 0.345 0.727
O 0.273 0.821 0.751
O 0.345 0.249 0.179
O 0.655 0.751 0.821
O 0.727 0.179 0.249
O 0.751 0.655 0.273
O 0.821 0.273 0.655